Density functional theory data (PBE) for a relaxed TbGe2Pd4 crystal.

Summary:
- ΔE_f: -0.72 eV/atom
- Offset from the most stable computed form: 0.0 meV per atom

```
data_TbGe2Pd4
_chemical_formula_sum 'Tb2 Ge4 Pd8'
_space_group_name_H-M_alt 'P 1'
_space_group_IT_number 1
_space_group_name_Hall 'P 1'
_cell_length_a 3.887
_cell_length_b 7.923
_cell_length_c 7.923
_cell_angle_alpha 90.00
_cell_angle_beta 90.00
_cell_angle_gamma 90.00
loop_
_atom_site_label
_atom_site_type_symbol
_atom_site_fract_x
_atom_site_fract_y
_atom_site_fract_z
Pd1 Pd 0.500 0.172 0.579
Pd2 Pd 0.500 0.421 0.828
Pd3 Pd 0.000 0.921 0.672
Pd4 Pd 0.000 0.079 0.328
Pd5 Pd 0.000 0.328 0.079
Pd6 Pd 0.500 0.828 0.421
Pd7 Pd 0.000 0.672 0.921
Pd8 Pd 0.500 0.579 0.172
Tb1 Tb 0.000 0.500 0.500
Tb2 Tb 0.500 0.000 0.000
Ge1 Ge 0.000 0.222 0.778
Ge2 Ge 0.500 0.722 0.722
Ge3 Ge 0.500 0.278 0.278
Ge4 Ge 0.000 0.778 0.222
```


Density functional theory data (PBE) for a relaxed Be3SN crystal.

Summary:
- ΔE_f (raw): 1.285 eV per atom
- Offset from the most stable computed form: 1429.9 meV per atom

```
data_Be3SN
_chemical_formula_sum 'Be3 S1 N1'
_space_group_name_H-M_alt 'P 1'
_space_group_IT_number 1
_space_group_name_Hall 'P 1'
_cell_length_a 3.871
_cell_length_b 3.871
_cell_length_c 3.871
_cell_angle_alpha 90.00
_cell_angle_beta 90.00
_cell_angle_gamma 90.00
loop_
_atom_site_label
_atom_site_type_symbol
_atom_site_fract_x
_atom_site_fract_y
_atom_site_fract_z
N1 N 0.500 0.500 0.500
Be1 Be 0.000 0.000 0.500
Be2 Be 0.000 0.500 0.000
Be3 Be 0.500 0.000 0.000
S1 S 0.000 0.000 0.000
```


Density functional theory data (PBE) for a relaxed Pm3Zn4Ag4 crystal.

Summary:
- ΔE_f: -0.27 eV/atom

```
data_Pm3Zn4Ag4
_chemical_formula_sum 'Pm3 Zn4 Ag4'
_space_group_name_H-M_alt 'P 1'
_space_group_IT_number 1
_space_group_name_Hall 'P 1'
_cell_length_a 3.731
_cell_length_b 4.550
_cell_length_c 14.339
_cell_angle_alpha 80.94
_cell_angle_beta 82.56
_cell_angle_gamma 90.11
loop_
_atom_site_label
_atom_site_type_symbol
_atom_site_fract_x
_atom_site_fract_y
_atom_site_fract_z
Pm1 Pm 0.000 0.000 0.000
Pm2 Pm 0.143 0.643 0.714
Pm3 Pm 0.857 0.357 0.286
Zn1 Zn 0.310 0.811 0.378
Zn2 Zn 0.690 0.189 0.622
Zn3 Zn 0.453 0.454 0.092
Zn4 Zn 0.547 0.546 0.908
Ag1 Ag 0.595 0.094 0.811
Ag2 Ag 0.259 0.259 0.483
Ag3 Ag 0.742 0.741 0.517
Ag4 Ag 0.405 0.906 0.189
```


Density functional theory data (PBE) for a relaxed MnSbSe crystal.

Summary:
- ΔE_f (raw): -0.160 eV per atom

```
data_MnSbSe
_chemical_formula_sum 'Mn1 Sb1 Se1'
_space_group_name_H-M_alt 'P 1'
_space_group_IT_number 1
_space_group_name_Hall 'P 1'
_cell_length_a 3.416
_cell_length_b 3.416
_cell_length_c 6.886
_cell_angle_alpha 90.00
_cell_angle_beta 90.00
_cell_angle_gamma 120.00
loop_
_atom_site_label
_atom_site_type_symbol
_atom_site_fract_x
_atom_site_fract_y
_atom_site_fract_z
Sb1 Sb 0.667 0.333 0.259
Mn1 Mn 0.000 0.000 0.973
Se1 Se 0.333 0.667 0.768
```


Density functional theory data (PBE) for a relaxed CePa crystal.

Summary:
- ΔE_f: 0.56 eV/atom
- Offset from the most stable computed form: 500.1 meV per atom

```
data_CePa
_chemical_formula_sum 'Ce1 Pa1'
_space_group_name_H-M_alt 'P 1'
_space_group_IT_number 1
_space_group_name_Hall 'P 1'
_cell_length_a 4.069
_cell_length_b 4.069
_cell_length_c 4.069
_cell_angle_alpha 60.00
_cell_angle_beta 60.00
_cell_angle_gamma 60.00
loop_
_atom_site_label
_atom_site_type_symbol
_atom_site_fract_x
_atom_site_fract_y
_atom_site_fract_z
Ce1 Ce 0.000 0.000 0.000
Pa1 Pa 0.500 0.500 0.500
```


Density functional theory data (PBE) for a relaxed Tc2IrPd crystal.

Summary:
- ΔE_f: 0.45 eV/atom
- Offset from the most stable computed form: 0.0 meV per atom

```
data_Tc2IrPd
_chemical_formula_sum 'Tc2 Ir1 Pd1'
_space_group_name_H-M_alt 'P 1'
_space_group_IT_number 1
_space_group_name_Hall 'P 1'
_cell_length_a 4.396
_cell_length_b 4.396
_cell_length_c 4.396
_cell_angle_alpha 60.00
_cell_angle_beta 60.00
_cell_angle_gamma 60.00
loop_
_atom_site_label
_atom_site_type_symbol
_atom_site_fract_x
_atom_site_fract_y
_atom_site_fract_z
Tc1 Tc 0.250 0.250 0.250
Tc2 Tc 0.750 0.750 0.750
Ir1 Ir 0.500 0.500 0.500
Pd1 Pd 0.000 0.000 0.000
```